An optimized crystal structure of CaPa2PtN5. Source: Alexandria via LeMat-Bulk, functional PBE.

Values from the calculation:
Its formation energy from raw total energies is -86.8 kJ per mole of atoms. The space group is I4/mcm, No. 140.

Cell: 7.5399 7.5399 7.5399 Å, 128.03 128.03 76.58°
Closest atoms and distances in Å follow each position.
Atoms (fractional coordinates):
Ca 0.2500 0.2500 0.0000  10 N 2.96-2.98, 4 Pt 3.30
Ca 0.7500 0.7500 0.0000  10 N 2.96-2.98, 4 Pt 3.30
Pa 0.1791 0.6791 0.8581  4 N 2.20-2.43
Pa 0.3209 0.1791 0.5000  4 N 2.20-2.43
Pa 0.6791 0.8209 0.5000  4 N 2.20-2.43
Pa 0.8209 0.3209 0.1419  4 N 2.20-2.43
Pt 0.2500 0.7500 0.5000  4 N 2.02
Pt 0.7500 0.2500 0.5000  4 N 2.02
N 0.0000 0.0000 0.0000  4 Pa 2.43
N 0.0205 0.2398 0.5000  1 Pt 2.02, 1 Pa 2.20
N 0.2398 0.7398 0.2193  1 Pt 2.02, 1 Pa 2.20
N 0.2602 0.4795 0.5000  1 Pt 2.02, 1 Pa 2.20
N 0.4795 0.9795 0.2193  1 Pt 2.02, 1 Pa 2.20
N 0.5000 0.5000 0.0000  4 Pa 2.43
N 0.5205 0.0205 0.7807  1 Pt 2.02, 1 Pa 2.20
N 0.7398 0.5205 0.5000  1 Pt 2.02, 1 Pa 2.20
N 0.7602 0.2602 0.7807  1 Pt 2.02, 1 Pa 2.20
N 0.9795 0.7602 0.5000  1 Pt 2.02, 1 Pa 2.20